Material: KY2Cr
Method: DFT, PBE
State: relaxed

Values from the calculation:
The polymorph energy (0 for the lowest one) comes out at 511 meV/atom. The calculation puts the formation enthalpy at 0 K at 0.873 eV per atom.

Unit cell a=5.610 b=5.610 c=5.610 alpha=60.00 beta=60.00 gamma=60.00
Sites, in units of the cell vectors:
K (0.750, 0.750, 0.750)
Cr (0.500, 0.500, 0.500)
Y (0.250, 0.250, 0.250)
Y (0.000, 0.000, 0.000)